{
  "formula": "NaAlSi",
  "functional": "GGA-PBEsol",
  "state": "relaxed",
  "lattice": [[4.1060, 0.0000, 0.0000], [0.0000, 4.1060, 0.0000], [0.0000, 0.0000, 7.2980]],
  "species": ["Na", "Na", "Al", "Al", "Si", "Si"],
  "frac_coords": [[0.2500, 0.2500, 0.1365], [0.7500, 0.7500, 0.8635], [0.2500, 0.7500, 0.5000], [0.7500, 0.2500, 0.5000], [0.2500, 0.2500, 0.7097], [0.7500, 0.7500, 0.2903]],
  "final_energy_ev_per_atom": -3.838,
  "vol_a3_per_atom": 20.51,
  "sg": "P4/nmm",
  "density_g_cm3": 2.11
}

***

{
  "formula": "Na2SrAl2",
  "functional": "GGA-PBEsol",
  "state": "relaxed",
  "lattice": [[4.5126, 0.0000, 0.0000], [0.0000, 4.5126, 0.0000], [0.0000, 0.0000, 14.3143]],
  "species": ["Na", "Na", "Na", "Na", "Sr", "Sr", "Al", "Al", "Al", "Al"],
  "frac_coords": [[0.0000, 0.5000, 0.2500], [0.0000, 0.5000, 0.7500], [0.5000, 0.0000, 0.2500], [0.5000, 0.0000, 0.7500], [0.0000, 0.0000, 0.0000], [0.5000, 0.5000, 0.5000], [0.0000, 0.0000, 0.4086], [0.0000, 0.0000, 0.5914], [0.5000, 0.5000, 0.0914], [0.5000, 0.5000, 0.9086]],
  "final_energy_ev_per_atom": -2.444,
  "vol_a3_per_atom": 29.15,
  "formation_energy_mev_per_atom": 120,
  "sg": "I4/mmm",
  "density_g_cm3": 2.14
}